Entry 1:
# SrBi2Sb2

A relaxed structure of SrBi2Sb2 (PBE, the Alexandria database).

* uncorrected energy: -37.74 eV/cell
* ΔE_f (raw): -236 meV per atom

Lattice parameters (Å, degrees): 8.9854 8.9854 4.1989 90.00 90.00 90.00
Space group P4/mbm (No. 127)
Inequivalent atoms, fractional coordinates:
1 Sr 0.0000 0.0000 0.0000 (multiplicity 2)
2 Bi 0.1354 0.3646 0.0000 (multiplicity 4)
3 Sb 0.1952 0.6952 0.5000 (multiplicity 4)


Entry 2:
# Sr2BiSb2

A relaxed structure of Sr2BiSb2 (PBE, the Alexandria database).

* uncorrected energy: -35.31 eV/cell
* ΔE_f (raw): -433 meV per atom

Lattice parameters (Å, degrees): 9.2549 9.2549 3.9816 90.00 90.00 90.00
Space group P4/mbm (No. 127)
Inequivalent atoms, fractional coordinates:
1 Sr 0.1348 0.3652 0.0000 (multiplicity 4)
2 Bi 0.0000 0.0000 0.0000 (multiplicity 2)
3 Sb 0.1716 0.6716 0.5000 (multiplicity 4)


Entry 3:
# SrBiSb2

A relaxed structure of SrBiSb2 (PBE, the Alexandria database).

* uncorrected energy: -60.51 eV/cell
* ΔE_f (raw): -330 meV per atom

Lattice parameters (Å, degrees): 9.0494 9.0494 6.6227 90.00 90.00 90.00
Space group I-42d (No. 122)
Inequivalent atoms, fractional coordinates:
1 Sr 0.0000 0.0000 0.0000 (multiplicity 4)
2 Bi 0.0000 0.0000 0.5000 (multiplicity 4)
3 Sb 0.2325 0.7500 0.6250 (multiplicity 8)


Entry 4:
# SrBi2Sb2

A relaxed structure of SrBi2Sb2 (PBE, the Alexandria database).

* uncorrected energy: -36.85 eV/cell
* ΔE_f (raw): -147 meV per atom

Lattice parameters (Å, degrees): 4.5807 4.5807 16.4248 90.00 90.00 90.00
Space group I4/mmm (No. 139)
Inequivalent atoms, fractional coordinates:
1 Sr 0.0000 0.0000 0.0000 (multiplicity 2)
2 Bi 0.0000 0.0000 0.4052 (multiplicity 4)
3 Sb 0.0000 0.5000 0.2500 (multiplicity 4)


Entry 5:
# Sr2BiSb2

A relaxed structure of Sr2BiSb2 (PBE, the Alexandria database).

* uncorrected energy: -38.27 eV/cell
* ΔE_f (raw): -729 meV per atom

Lattice parameters (Å, degrees): 8.5995 8.5995 4.6332 90.00 90.00 90.00
Space group P4/mbm (No. 127)
Inequivalent atoms, fractional coordinates:
1 Sr 0.1589 0.3411 0.0000 (multiplicity 4)
2 Bi 0.0000 0.0000 0.5000 (multiplicity 2)
3 Sb 0.1450 0.6450 0.5000 (multiplicity 4)


Entry 6:
# SrBiSb2

A relaxed structure of SrBiSb2 (PBE, the Alexandria database).

* uncorrected energy: -15.49 eV/cell
* ΔE_f (raw): -420 meV per atom

Lattice parameters (Å, degrees): 5.0109 5.0109 4.8546 90.00 90.00 90.00
Space group P4/mmm (No. 123)
Inequivalent atoms, fractional coordinates:
1 Sr 0.0000 0.0000 0.0000 (multiplicity 1)
2 Bi 0.5000 0.5000 0.0000 (multiplicity 1)
3 Sb 0.0000 0.5000 0.5000 (multiplicity 2)


Entry 7:
# Sr8Bi5Sb

A relaxed structure of Sr8Bi5Sb (PBE, the Alexandria database).

* uncorrected energy: -99.38 eV/cell
* ΔE_f (raw): -908 meV per atom

Lattice parameters (Å, degrees): 10.1750 10.1750 10.1999 90.00 90.00 90.00
Space group I-4 (No. 82)
Inequivalent atoms, fractional coordinates:
1 Sr 0.0716 0.1816 0.1969 (multiplicity 8)
2 Sr 0.0725 0.3246 0.5489 (multiplicity 8)
3 Bi 0.0000 0.0000 0.5000 (multiplicity 2)
4 Bi 0.1237 0.2507 0.8728 (multiplicity 8)
5 Sb 0.0000 0.5000 0.2500 (multiplicity 2)


Entry 8:
# Sr3BiSb

A relaxed structure of Sr3BiSb (PBE, the Alexandria database).

* uncorrected energy: -69.31 eV/cell
* ΔE_f (raw): -856 meV per atom

Lattice parameters (Å, degrees): 10.9055 16.4371 4.7305 90.00 90.00 90.00
Space group C222 (No. 21)
Inequivalent atoms, fractional coordinates:
1 Sr 0.0000 0.1430 0.0000 (multiplicity 4)
2 Sr 0.1835 0.3828 0.4992 (multiplicity 8)
3 Bi 0.0000 0.0000 0.5000 (multiplicity 2)
4 Bi 0.0000 0.5000 0.0000 (multiplicity 2)
5 Sb 0.2500 0.2500 0.9991 (multiplicity 4)


Entry 9:
# SrBi2Sb2

A relaxed structure of SrBi2Sb2 (PBE, the Alexandria database).

* uncorrected energy: -37.92 eV/cell
* ΔE_f (raw): -254 meV per atom

Lattice parameters (Å, degrees): 8.8869 8.8869 4.2531 90.00 90.00 90.00
Space group P4/mbm (No. 127)
Inequivalent atoms, fractional coordinates:
1 Sr 0.0000 0.0000 0.0000 (multiplicity 2)
2 Bi 0.1739 0.3261 0.5000 (multiplicity 4)
3 Sb 0.1520 0.6520 0.0000 (multiplicity 4)


Entry 10:
# SrBiSb3

A relaxed structure of SrBiSb3 (PBE, the Alexandria database).

* uncorrected energy: -13.74 eV/cell
* ΔE_f (raw): 838 meV per atom

Lattice parameters (Å, degrees): 5.9348 5.9348 5.9348 90.00 90.00 90.00
Space group Pm-3m (No. 221)
Inequivalent atoms, fractional coordinates:
1 Sr 0.0000 0.0000 0.0000 (multiplicity 1)
2 Bi 0.5000 0.5000 0.5000 (multiplicity 1)
3 Sb 0.0000 0.0000 0.5000 (multiplicity 3)


Entry 11:
# Sr5Bi2Sb

A relaxed structure of Sr5Bi2Sb (PBE, the Alexandria database).

* uncorrected energy: -49.54 eV/cell
* ΔE_f (raw): -559 meV per atom

Lattice parameters (Å, degrees): 8.2126 8.2126 9.5122 90.00 90.00 90.00
Space group I4mm (No. 107)
Inequivalent atoms, fractional coordinates:
1 Sr 0.0000 0.0000 0.0000 (multiplicity 2)
2 Sr 0.2386 0.2386 0.7183 (multiplicity 8)
3 Bi 0.0000 0.5000 0.4888 (multiplicity 4)
4 Sb 0.0000 0.0000 0.3311 (multiplicity 2)


Entry 12:
# SrBi2Sb

A relaxed structure of SrBi2Sb (PBE, the Alexandria database).

* uncorrected energy: -59.01 eV/cell
* ΔE_f (raw): -297 meV per atom

Lattice parameters (Å, degrees): 9.2840 9.2840 6.5921 90.00 90.00 90.00
Space group I-42d (No. 122)
Inequivalent atoms, fractional coordinates:
1 Sr 0.0000 0.0000 0.0000 (multiplicity 4)
2 Bi 0.2210 0.2500 0.6250 (multiplicity 8)
3 Sb 0.0000 0.0000 0.5000 (multiplicity 4)